#P
Material: CoSn4Ir
Method: DFT, PBE
State: relaxed

abc: 6.0738 5.9089 8.3697
angles: 110.50 111.10 90.45
Fractional positions:
Ir: 0.2060 0.4560 0.4120
Ir: 0.7940 0.5440 0.5880
Sn: 0.8569 0.1142 0.1236
Sn: 0.5078 0.8755 0.6441
Sn: 0.7333 0.4907 0.8764
Sn: 0.1431 0.8858 0.8764
Sn: 0.4922 0.1245 0.3559
Sn: 0.1363 0.2686 0.6441
Sn: 0.2666 0.5093 0.1236
Sn: 0.8637 0.7314 0.3559
Co: 0.4597 0.2097 0.9195
Co: 0.5403 0.7903 0.0805

Properties
* DOS(E_F): 5.175 states/eV/cell
* space group: C2/c, No. 15

---

#Q
Material: CoSn4Ir
Method: DFT, PBE
State: relaxed

abc: 7.2127 7.2127 7.2127
angles: 104.48 104.48 120.00
Fractional positions:
Sn: 0.8070 0.0081 0.7989
Sn: 0.2414 0.5208 0.2794
Sn: 0.7581 0.4592 0.7011
Sn: 0.7581 0.0570 0.2989
Sn: 0.2092 0.0081 0.2011
Sn: 0.7120 0.4914 0.2206
Sn: 0.2414 0.9620 0.7206
Sn: 0.2708 0.4914 0.7794
Ir: 0.7339 0.7339 0.0000
Ir: 0.4839 0.9839 0.5000
Co: 0.2671 0.2671 0.0000
Co: 0.0171 0.5171 0.5000

Properties
* DOS(E_F): 7.081 states/eV/cell
* space group: I4_1md, No. 109

---

Name the most stable of them. #Q.

---

#P
Material: SrCoIr
Method: DFT, PBE
State: relaxed

abc: 4.0518 4.0518 4.6970
angles: 90.00 90.00 120.00
Fractional positions:
Ir: 0.6667 0.3333 0.1667
Sr: 0.3333 0.6667 0.6667
Co: 0.0000 0.0000 0.1666

Properties
* DOS(E_F): 2.998 states/eV/cell
* space group: P-6m2, No. 187

---

#Q
Material: SrCoIr
Method: DFT, PBE
State: relaxed

abc: 5.8720 5.8723 3.3651
angles: 73.35 73.35 33.30
Fractional positions:
Co: 0.0535 0.0535 0.9465
Sr: 0.3302 0.3302 0.6698
Ir: 0.6163 0.6163 0.3837

Properties
* DOS(E_F): 3.323 states/eV/cell
* space group: I4mm, No. 107

---

Name the most stable of them. #P.

---

#P
Material: SrCoIr
Method: DFT, PBE
State: relaxed

abc: 4.6516 4.6516 4.6516
angles: 60.00 60.00 60.00
Fractional positions:
Ir: 0.5000 0.5000 0.5000
Sr: 0.7500 0.7500 0.7500
Co: 0.0000 0.0000 0.0000

Properties
* DOS(E_F): 9.146 states/eV/cell
* space group: F-43m, No. 216

---

#Q
Material: SrCoIr
Method: DFT, PBE
State: relaxed

abc: 4.0678 6.0124 6.1082
angles: 67.30 70.54 90.01
Fractional positions:
Co: 0.7096 0.8815 0.0810
Co: 0.2904 0.1185 0.9190
Ir: 0.9003 0.3031 0.6992
Ir: 0.0997 0.6969 0.3008
Sr: 0.6128 0.2942 0.2743
Sr: 0.3872 0.7058 0.7257

Properties
* DOS(E_F): 5.259 states/eV/cell
* space group: C2/m, No. 12

---

Name the most stable of them. #Q.

---

#P
Material: Tb4CoIr
Method: DFT, PBE
State: relaxed

abc: 7.6268 7.6268 7.6268
angles: 106.76 106.76 115.03
Fractional positions:
Tb: 0.8105 0.0069 0.8035
Tb: 0.2908 0.4931 0.7977
Tb: 0.2034 0.0069 0.1965
Tb: 0.7569 0.4534 0.6965
Tb: 0.6955 0.4931 0.2023
Tb: 0.2431 0.5408 0.2977
Tb: 0.7569 0.0605 0.3035
Tb: 0.2431 0.9455 0.7023
Co: 0.2521 0.2521 0.0000
Co: 0.0021 0.5021 0.5000
Ir: 0.7478 0.7478 0.0000
Ir: 0.4978 0.9978 0.5000

Properties
* DOS(E_F): 7.379 states/eV/cell
* space group: I4_1md, No. 109

---

#Q
Material: Tb4CoIr
Method: DFT, PBE
State: relaxed

abc: 6.2306 7.3297 7.9100
angles: 113.52 108.56 99.38
Fractional positions:
Tb: 0.7900 0.6887 0.6392
Tb: 0.3492 0.9505 0.6392
Tb: 0.0105 0.2359 0.8796
Tb: 0.2100 0.3113 0.3608
Tb: 0.6508 0.0495 0.3608
Tb: 0.3691 0.6437 0.8796
Tb: 0.6309 0.3563 0.1204
Tb: 0.9895 0.7641 0.1204
Co: 0.7471 0.9971 0.9943
Co: 0.2529 0.0029 0.0057
Ir: 0.3866 0.6366 0.2733
Ir: 0.6134 0.3634 0.7267

Properties
* DOS(E_F): 12.552 states/eV/cell
* space group: C2/c, No. 15

---

Name the most stable of them. #Q.

---

#P
Material: CoTc2Ir
Method: DFT, PBE
State: relaxed

abc: 4.6910 4.6910 4.6910
angles: 133.08 133.08 68.54
Fractional positions:
Ir: 0.7500 0.2500 0.5000
Co: 0.2500 0.7500 0.5000
Tc: 0.0000 0.0000 0.0000
Tc: 0.5000 0.5000 0.0000

Properties
* DOS(E_F): 5.191 states/eV/cell
* space group: I4/mmm, No. 139

---

#Q
Material: CoTc2Ir
Method: DFT, PBE
State: relaxed

abc: 3.7963 2.6894 5.9595
angles: 63.17 90.00 90.00
Fractional positions:
Tc: 0.0000 0.9809 0.0194
Tc: 0.0000 0.5191 0.4806
Ir: 0.5000 0.7500 0.7500
Co: 0.5000 0.2500 0.2500

Properties
* DOS(E_F): 4.581 states/eV/cell
* space group: Pmmm, No. 47

---

Name the most stable of them. #Q.

---

#P
Material: CoTc2Ir
Method: DFT, PBE
State: relaxed

abc: 8.7628 8.7628 8.7628
angles: 17.78 17.78 17.78
Fractional positions:
Tc: 0.9970 0.9970 0.9970
Tc: 0.5030 0.5030 0.5030
Ir: 0.7500 0.7500 0.7500
Co: 0.2500 0.2500 0.2500

Properties
* DOS(E_F): 5.754 states/eV/cell
* space group: R-3m, No. 166

---

#Q
Material: CoTc2Ir
Method: DFT, PBE
State: relaxed

abc: 4.2661 2.6926 4.7089
angles: 90.00 90.00 90.00
Fractional positions:
Ir: 0.5000 0.6250 0.7805
Tc: 0.5000 0.1249 0.2982
Tc: 0.0000 0.1251 0.9666
Co: 0.0000 0.6250 0.4547

Properties
* DOS(E_F): 2.959 states/eV/cell
* space group: Pmm2, No. 25

---

#R
Material: CoTc2Ir
Method: DFT, PBE
State: relaxed

abc: 5.3185 5.3185 5.3185
angles: 150.41 131.10 58.20
Fractional positions:
Co: 0.4977 0.4977 0.0000
Tc: 0.7160 0.2160 0.5000
Tc: 0.0113 0.0113 0.0000
Ir: 0.2751 0.7751 0.5000

Properties
* DOS(E_F): 4.761 states/eV/cell
* space group: Imm2, No. 44

---

#S
Material: CoTc2Ir
Method: DFT, PBE
State: relaxed

abc: 8.8143 8.8143 8.8143
angles: 17.70 17.70 17.70
Fractional positions:
Co: 0.5001 0.5001 0.5001
Tc: 0.9996 0.9996 0.9996
Tc: 0.2480 0.2480 0.2480
Ir: 0.7523 0.7523 0.7523

Properties
* DOS(E_F): 5.255 states/eV/cell
* space group: R3m, No. 160

---

Name the most stable of them. #Q.